(1)
## Mg2Sb (PBE)

Data for Mg2Sb after structural relaxation.

Calculated values
total DFT energy (no corrections): -30.24 eV per cell
magnetization: 0.00 μB per atom
uncorrected formation energy: -0.08 eV/atom
crystal system: orthorhombic

a b c (Å): 3.1751 16.6162 5.4768
angles (deg): 90.00 90.00 90.00
Closest atoms and distances in Å follow each position.
Space group Cmcm (No. 63)
Asymmetric unit:
Mg: 0.0000 0.0647 0.2500 (multiplicity 4)  6 Mg 3.15-3.48, 6 Sb 3.18-3.22
Mg: 0.0000 0.2716 0.7500 (multiplicity 4)  8 Mg 3.15-3.25, 4 Sb 3.25-3.46
Sb: 0.0000 0.3991 0.2500 (multiplicity 4)  2 Sb 3.18, 10 Mg 3.18-3.46



(2)
## ZrTi3Fe (PBE)

Data for ZrTi3Fe after structural relaxation.

Calculated values
energy above the lowest structure with this stoichiometry: 128 meV per atom
total DFT energy (no corrections): -39.77 eV per cell
magnetization: 0.00 μB per atom
ΔH_f (0 K): 0.18 eV per atom
crystal system: cubic

a b c (Å): 4.5206 4.5206 4.5206
angles (deg): 90.00 90.00 90.00
Closest atoms and distances in Å follow each position.
Space group Pm-3m (No. 221)
Asymmetric unit:
Zr: 0.0000 0.0000 0.0000 (multiplicity 1)  12 Ti 3.20
Ti: 0.0000 0.5000 0.5000 (multiplicity 3)  2 Fe 2.26
Fe: 0.5000 0.5000 0.5000 (multiplicity 1)  6 Ti 2.26



(3)
## Al8ZnIr2 (PBE)

Data for Al8ZnIr2 after structural relaxation.

Calculated values
energy above the lowest structure with this stoichiometry: 157 meV per atom
total DFT energy (no corrections): -104.88 eV per cell
magnetization: 0.00 μB per atom
ΔH_f (0 K): -0.32 eV per atom
crystal system: monoclinic

a b c (Å): 11.1786 7.0652 4.9899
angles (deg): 90.00 101.20 90.00
Closest atoms and distances in Å follow each position.
Space group C2/m (No. 12)
Asymmetric unit:
Al: 0.0844 0.0000 0.3549 (multiplicity 4)  1 Ir 2.49, 6 Al 2.59-2.77
Al: 0.1109 0.2062 0.8990 (multiplicity 8)  2 Ir 2.49-2.63, 2 Al 2.72-2.77
Al: 0.1961 0.5000 0.2922 (multiplicity 4)  2 Ir 2.50-2.51, 1 Zn 2.60, 1 Al 2.73
Zn: 0.0000 0.5000 0.5000 (multiplicity 2)  2 Ir 2.59, 2 Al 2.60
Ir: 0.2170 0.5000 0.8015 (multiplicity 4)  7 Al 2.49-2.63, 1 Zn 2.59



(4)
## BaAg2Hg6 (PBE)

Data for BaAg2Hg6 after structural relaxation.

Calculated values
total DFT energy (no corrections): -9.91 eV per cell
magnetization: 0.00 μB per atom
ΔH_f (0 K): -0.05 eV per atom
crystal system: hexagonal

a b c (Å): 6.5850 6.5850 7.4042
angles (deg): 90.00 90.00 120.00
Closest atoms and distances in Å follow each position.
Space group P6/mmm (No. 191)
Asymmetric unit:
Ba: 0.0000 0.0000 0.0000 (multiplicity 1)  12 Hg 3.62
Ag: 0.3333 0.6667 0.5000 (multiplicity 2)  6 Hg 2.90
Hg: 0.0000 0.5000 0.2041 (multiplicity 6)  2 Ag 2.90, 1 Hg 3.02



Q: Number 1 is which compound?
A: Mg2Sb



Q: magnetization of number 3 (Al8ZnIr2)?
A: 0.00 μB per atom



Please write out number 2 again, unchanged.
## ZrTi3Fe (PBE)

Data for ZrTi3Fe after structural relaxation.

Calculated values
energy above the lowest structure with this stoichiometry: 128 meV per atom
total DFT energy (no corrections): -39.77 eV per cell
magnetization: 0.00 μB per atom
ΔH_f (0 K): 0.18 eV per atom
crystal system: cubic

a b c (Å): 4.5206 4.5206 4.5206
angles (deg): 90.00 90.00 90.00
Closest atoms and distances in Å follow each position.
Space group Pm-3m (No. 221)
Asymmetric unit:
Zr: 0.0000 0.0000 0.0000 (multiplicity 1)  12 Ti 3.20
Ti: 0.0000 0.5000 0.5000 (multiplicity 3)  2 Fe 2.26
Fe: 0.5000 0.5000 0.5000 (multiplicity 1)  6 Ti 2.26